i | Density functional theory data (PBE) for a relaxed structure of CaCoMo.

abc: 5.216 4.088 5.582
angles: 90.00 102.49 90.00
Element x y z (fractional)
Ca: 0.239 0.250 0.433
Ca: 0.761 0.750 0.567
Co: 0.094 0.250 0.913
Co: 0.906 0.750 0.087
Mo: 0.347 0.750 0.974
Mo: 0.653 0.250 0.026

Calculated values
**Total magnetization**: 0.000 μB per cell
**Volume**: 116.23 Å³ per cell

ii | Density functional theory data (PBE) for a relaxed structure of CaCoMo.

abc: 7.862 7.862 2.884
angles: 93.60 93.60 141.77
Element x y z (fractional)
Ca: 0.182 0.818 0.000
Ca: 0.818 0.182 0.000
Co: 0.382 0.618 0.500
Co: 0.618 0.382 0.500
Mo: 0.244 0.244 0.758
Mo: 0.756 0.756 0.242

Calculated values
**Total magnetization**: 0.000 μB per cell
**Volume**: 108.26 Å³ per cell

Stability summary - winner: i; margin: 0.117 eV/atom.

i | Density functional theory data (PBE) for a relaxed structure of Ca3CoMo.

abc: 5.404 5.404 5.404
angles: 90.00 90.00 90.00
Element x y z (fractional)
Ca: 0.000 0.000 0.500
Ca: 0.000 0.500 0.000
Ca: 0.500 0.000 0.000
Co: 0.500 0.500 0.500
Mo: 0.000 0.000 0.000

Calculated values
**Total magnetization**: 2.642 μB per cell
**Volume**: 157.79 Å³ per cell

ii | Density functional theory data (PBE) for a relaxed structure of Ca3CoMo.

abc: 5.302 5.302 5.302
angles: 90.00 90.00 90.00
Element x y z (fractional)
Ca: 0.000 0.000 0.500
Ca: 0.000 0.500 0.000
Ca: 0.500 0.000 0.000
Co: 0.000 0.000 0.000
Mo: 0.500 0.500 0.500

Calculated values
**Total magnetization**: 4.623 μB per cell
**Volume**: 149.07 Å³ per cell

Stability summary - winner: ii; margin: 0.428 eV/atom.